1.
MgReAu2 PBE relaxed; SG = Immm; calculated total energy = -4.77 eV/atom; total magnetic moment = 0.11 μB per atom; formation enthalpy at 0 K = 0.381 eV/atom
1.0
-1.3997 2.5186 4.9566
1.3997 -2.5186 4.9566
1.3997 2.5186 -4.9566
Mg Re Au
1 1 2
Direct
0.0000 0.0000 0.0000
0.5000 0.5000 0.0000
0.2550 0.7550 0.5000
0.7450 0.2450 0.5000

=====

2.
ThGa3Ir PBE relaxed; SG = Pmmn; energy above the lowest structure with this stoichiometry = 149 meV/atom; calculated total energy = -5.58 eV/atom; total magnetic moment = 0.00 μB per atom; formation enthalpy at 0 K = -0.507 eV/atom
1.0
4.3191 0.0000 0.0000
0.0000 6.8624 0.0000
0.0000 0.0000 6.8708
Th Ga Ir
2 6 2
Direct
0.2500 0.2500 0.2032
0.7500 0.7500 0.7968
0.2500 0.0630 0.6680
0.2500 0.4370 0.6680
0.2500 0.7500 0.1167
0.7500 0.2500 0.8833
0.7500 0.5630 0.3320
0.7500 0.9370 0.3320
0.2500 0.7500 0.4812
0.7500 0.2500 0.5188

=====

3.
YAl PBE relaxed; SG = P6_3/mmc; calculated total energy = -5.20 eV/atom; total magnetic moment = 0.00 μB per atom; formation enthalpy at 0 K = -0.093 eV/atom
1.0
3.5599 0.0000 0.0000
-1.7799 3.0829 0.0000
0.0000 0.0000 9.5315
Y Al
2 2
Direct
0.0000 0.0000 0.0000
0.0000 0.0000 0.5000
0.3333 0.6667 0.2500
0.6667 0.3333 0.7500

=====

4.
TlAuC PBE relaxed; SG = P1; calculated total energy = -4.47 eV/atom; total magnetic moment = 0.00 μB per atom; formation enthalpy at 0 K = 0.491 eV/atom
1.0
3.9076 0.0000 0.0000
-0.0371 5.2461 0.0000
-0.0859 -0.0177 7.4873
Tl Au C
2 2 2
Direct
0.0000 0.0000 0.0000
0.0159 0.4999 0.6083
0.4929 0.0015 0.7019
0.5095 0.9992 0.3185
0.5098 0.3800 0.3163
0.5097 0.6185 0.3164

=====

5.
SiGePb3 PBE relaxed; SG = Pm-3m; calculated total energy = -3.43 eV/atom; total magnetic moment = 0.00 μB per atom
1.0
5.4858 0.0000 0.0000
0.0000 5.4858 0.0000
0.0000 0.0000 5.4858
Si Ge Pb
1 1 3
Direct
0.0000 0.0000 0.0000
0.5000 0.5000 0.5000
0.0000 0.5000 0.5000
0.5000 0.0000 0.5000
0.5000 0.5000 0.0000

=====

6.
TaNb3Mo2 PBE relaxed; SG = C2/m; energy above the lowest structure with this stoichiometry = 126 meV/atom; calculated total energy = -10.41 eV/atom; total magnetic moment = 0.00 μB per atom; formation enthalpy at 0 K = 0.206 eV/atom
1.0
6.8853 -2.3136 0.0000
6.8853 2.3136 0.0000
-3.1269 0.0000 6.7849
Ta Nb Mo
2 6 4
Direct
0.1344 0.1344 0.1895
0.8656 0.8656 0.8105
0.0505 0.0505 0.7185
0.3070 0.3070 0.0477
0.3812 0.3812 0.4511
0.6188 0.6188 0.5489
0.6930 0.6930 0.9523
0.9495 0.9495 0.2815
0.2390 0.2390 0.6520
0.4774 0.4774 0.8228
0.5226 0.5226 0.1772
0.7610 0.7610 0.3480